This record from Alexandria via LeMat-Bulk describes an optimized crystal structure of KSr2WO6. The functional is GGA+U.

Structure (POSCAR):
```
KSr2WO6
1.0
5.9345 0.0000 0.0796
0.0000 6.3705 0.0000
0.1640 0.0000 8.6286
K Sr W O
2 4 2 12
direct
0.5000 0.0000 0.0000
0.0000 0.5000 0.5000
0.0146 0.9488 0.2713
0.5146 0.5512 0.7713
0.9854 0.0512 0.7287
0.4854 0.4488 0.2287
0.5000 0.0000 0.5000
0.0000 0.5000 0.0000
0.2764 0.6549 0.0342
0.7764 0.8451 0.5342
0.7236 0.3451 0.9658
0.2236 0.1549 0.4658
0.3602 0.7537 0.4037
0.8602 0.7463 0.9037
0.6398 0.2463 0.5963
0.1398 0.2537 0.0963
0.8773 0.5899 0.2023
0.3773 0.9101 0.7023
0.1227 0.4101 0.7977
0.6227 0.0899 0.2977
```

Summary:
Symmetry   P2_1/c, No. 14
DFT total energy   -6.421 eV/atom